# 1
DFT (GGA-PBE) results for crystalline LiNdEuPb at its relaxed geometry.

POSCAR file:
```
LiNdEuPb
1.0
0.000 3.905 3.905
3.905 0.000 3.905
3.905 3.905 0.000
Li Nd Eu Pb
1 1 1 1
direct
0.000 0.000 0.000
0.250 0.250 0.250
0.750 0.750 0.750
0.500 0.500 0.500
```

Computed properties:
Crystal system = cubic
E_form = -0.327 eV per atom
E_tot = -21.97 eV per cell
Symmetry = F-43m, No. 216

---

# 2
DFT (GGA-PBE) results for crystalline KBaNa3 at its relaxed geometry.

POSCAR file:
```
KBaNa3
1.0
6.462 0.000 0.000
0.000 6.462 0.000
0.000 0.000 6.462
K Ba Na
1 1 3
direct
0.000 0.000 0.000
0.500 0.500 0.500
0.000 0.000 0.500
0.000 0.500 0.000
0.500 0.000 0.000
```

Computed properties:
Crystal system = cubic
E_form = 0.257 eV per atom
E_tot = -5.69 eV per cell
Symmetry = Pm-3m, No. 221

---

# 3
DFT (GGA-PBE) results for crystalline Li2Tb3DyS6 at its relaxed geometry.

POSCAR file:
```
Li2Tb3DyS6
1.0
3.365 -5.828 0.000
3.365 5.828 0.000
-2.242 0.000 6.330
Li Tb Dy S
2 3 1 6
direct
0.167 0.833 0.000
0.833 0.167 0.000
0.000 0.000 0.500
0.333 0.667 0.500
0.667 0.333 0.500
0.500 0.500 0.000
0.082 0.419 0.757
0.244 0.244 0.244
0.419 0.082 0.757
0.581 0.918 0.243
0.756 0.756 0.756
0.918 0.581 0.243
```

Computed properties:
Crystal system = monoclinic
Formation energy from raw total energies = -1.91 eV/atom
E_tot = -70.01 eV per cell
Symmetry = C2/m, No. 12

---

# 4
DFT (GGA-PBE) results for crystalline Nd2ErPa at its relaxed geometry.

POSCAR file:
```
Nd2ErPa
1.0
3.448 0.000 0.000
0.000 3.448 0.000
0.000 0.000 10.428
Nd Er Pa
2 1 1
direct
0.000 0.000 0.234
0.000 0.000 0.766
0.500 0.500 0.500
0.500 0.500 0.000
```

Computed properties:
Crystal system = tetragonal
E_form = 0.175 eV per atom
E_tot = -22.90 eV per cell
Symmetry = P4/mmm, No. 123

---

# 5
DFT (GGA-PBE) results for crystalline Y6Sb5Br at its relaxed geometry.

POSCAR file:
```
Y6Sb5Br
1.0
3.793 -6.556 0.000
3.793 6.556 0.000
-2.508 0.000 7.133
Y Sb Br
6 5 1
direct
0.067 0.414 0.742
0.239 0.239 0.254
0.414 0.067 0.742
0.586 0.933 0.258
0.761 0.761 0.746
0.933 0.586 0.258
0.000 0.000 0.500
0.168 0.832 0.000
0.339 0.661 0.500
0.661 0.339 0.500
0.832 0.168 0.000
0.500 0.500 0.000
```

Computed properties:
Crystal system = monoclinic
Formation energy from raw total energies = -1.18 eV/atom
E_tot = -75.23 eV per cell
Symmetry = C2/m, No. 12

---

# 6
DFT (GGA-PBE) results for crystalline SrScBO4 at its relaxed geometry.

POSCAR file:
```
SrScBO4
1.0
0.000 3.906 3.906
3.906 0.000 3.906
3.906 3.906 0.000
Sr Sc B O
1 1 1 4
direct
0.000 0.000 0.000
0.750 0.750 0.750
0.500 0.500 0.500
0.174 0.609 0.609
0.609 0.174 0.609
0.609 0.609 0.174
0.609 0.609 0.609
```

Computed properties:
Crystal system = cubic
Formation energy from raw total energies = -2.60 eV/atom
E_tot = -52.75 eV per cell
Symmetry = F-43m, No. 216

---

# 7
DFT (GGA-PBE) results for crystalline YFe2MoCl at its relaxed geometry.

POSCAR file:
```
YFe2MoCl
1.0
4.426 0.000 0.000
0.000 4.426 0.000
0.000 0.000 5.875
Y Fe Mo Cl
1 2 1 1
direct
0.000 0.000 0.000
0.000 0.500 0.500
0.500 0.000 0.500
0.000 0.000 0.500
0.500 0.500 0.000
```

Computed properties:
Crystal system = tetragonal
Formation energy from raw total energies = 0.78 eV/atom
E_tot = -32.16 eV per cell
Symmetry = P4/mmm, No. 123

---

# 8
DFT (GGA-PBE) results for crystalline Ho12Pu3Ag5 at its relaxed geometry.

POSCAR file:
```
Ho12Pu3Ag5
1.0
-8.750 8.750 8.750
8.750 -8.750 8.750
8.750 8.750 -8.750
Ho Pu Ag
48 12 20
direct
0.049 0.220 0.122
0.049 0.328 0.927
0.073 0.622 0.401
0.073 0.951 0.672
0.099 0.720 0.672
0.099 0.878 0.427
0.122 0.049 0.220
0.122 0.573 0.901
0.172 0.220 0.599
0.172 0.451 0.573
0.220 0.122 0.049
0.220 0.599 0.172
0.280 0.328 0.901
0.280 0.451 0.378
0.328 0.901 0.280
0.328 0.927 0.049
0.378 0.280 0.451
0.378 0.599 0.927
0.401 0.073 0.622
0.401 0.828 0.780
0.427 0.099 0.878
0.427 0.828 0.549
0.451 0.378 0.280
0.451 0.573 0.172
0.549 0.427 0.828
0.549 0.622 0.720
0.573 0.172 0.451
0.573 0.901 0.122
0.599 0.172 0.220
0.599 0.927 0.378
0.622 0.401 0.073
0.622 0.720 0.549
0.672 0.073 0.951
0.672 0.099 0.720
0.720 0.549 0.622
0.720 0.672 0.099
0.780 0.401 0.828
0.780 0.878 0.951
0.828 0.549 0.427
0.828 0.780 0.401
0.878 0.427 0.099
0.878 0.951 0.780
0.901 0.122 0.573
0.901 0.280 0.328
0.927 0.049 0.328
0.927 0.378 0.599
0.951 0.672 0.073
0.951 0.780 0.878
0.125 0.250 0.375
0.125 0.375 0.750
0.250 0.375 0.125
0.250 0.875 0.625
0.375 0.125 0.250
0.375 0.750 0.125
0.625 0.250 0.875
0.625 0.875 0.750
0.750 0.125 0.375
0.750 0.625 0.875
0.875 0.625 0.250
0.875 0.750 0.625
0.000 0.000 0.000
0.000 0.000 0.500
0.000 0.500 0.000
0.000 0.500 0.500
0.125 0.750 0.875
0.125 0.875 0.250
0.250 0.125 0.875
0.250 0.625 0.375
0.375 0.250 0.625
0.375 0.625 0.750
0.500 0.000 0.000
0.500 0.000 0.500
0.500 0.500 0.000
0.500 0.500 0.500
0.625 0.375 0.250
0.625 0.750 0.375
0.750 0.375 0.625
0.750 0.875 0.125
0.875 0.125 0.750
0.875 0.250 0.125
```

Computed properties:
Crystal system = cubic
E_form = 0.513 eV per atom
E_tot = -407.73 eV per cell
Symmetry = Ia-3d, No. 230

---

# 9
DFT (GGA-PBE) results for crystalline NaYbTi2O6 at its relaxed geometry.

POSCAR file:
```
NaYbTi2O6
1.0
7.649 0.000 0.000
0.000 5.531 0.000
0.000 0.000 5.355
Na Yb Ti O
2 2 4 12
direct
0.000 0.224 0.000
0.500 0.776 0.500
0.000 0.683 0.516
0.500 0.317 0.016
0.248 0.235 0.514
0.252 0.765 0.014
0.748 0.765 0.014
0.752 0.235 0.514
0.000 0.272 0.430
0.000 0.774 0.094
0.202 0.947 0.694
0.214 0.463 0.780
0.286 0.537 0.280
0.298 0.053 0.194
0.500 0.226 0.594
0.500 0.728 0.930
0.702 0.053 0.194
0.714 0.537 0.280
0.786 0.463 0.780
0.798 0.947 0.694
```

Computed properties:
Crystal system = orthorhombic
Formation energy from raw total energies = -2.80 eV/atom
E_tot = -152.84 eV per cell
Symmetry = Pmn2_1, No. 31

---

# 10
DFT (GGA-PBE) results for crystalline Dy8Er2Sc at its relaxed geometry.

POSCAR file:
```
Dy8Er2Sc
1.0
-2.745 3.967 7.873
2.745 -3.967 7.873
2.745 3.967 -7.873
Dy Er Sc
8 2 1
direct
0.157 0.366 0.791
0.165 0.165 0.000
0.286 0.000 0.286
0.424 0.634 0.791
0.576 0.366 0.209
0.714 0.000 0.714
0.835 0.835 0.000
0.843 0.634 0.209
0.300 0.800 0.500
0.700 0.200 0.500
0.000 0.500 0.500
```

Computed properties:
Crystal system = orthorhombic
E_form = 0.116 eV per atom
E_tot = -50.99 eV per cell
Symmetry = Immm, No. 71

---

# 11
DFT (GGA-PBE) results for crystalline Co2NiOs at its relaxed geometry.

POSCAR file:
```
Co2NiOs
1.0
2.978 0.000 0.000
0.000 2.978 0.000
0.000 0.000 5.309
Co Ni Os
2 1 1
direct
0.000 0.000 0.234
0.000 0.000 0.766
0.500 0.500 0.000
0.500 0.500 0.500
```

Computed properties:
Crystal system = tetragonal
E_form = 0.241 eV per atom
E_tot = -30.26 eV per cell
Symmetry = P4/mmm, No. 123

---

# 12
DFT (GGA-PBE) results for crystalline Ca2Mg2Zn at its relaxed geometry.

POSCAR file:
```
Ca2Mg2Zn
1.0
7.305 0.000 0.000
0.000 7.305 0.000
0.000 0.000 5.367
Ca Mg Zn
4 4 2
direct
0.176 0.324 0.000
0.324 0.824 0.000
0.676 0.176 0.000
0.824 0.676 0.000
0.142 0.642 0.500
0.358 0.142 0.500
0.642 0.858 0.500
0.858 0.358 0.500
0.000 0.000 0.500
0.500 0.500 0.500
```

Computed properties:
Crystal system = tetragonal
E_form = -0.010 eV per atom
E_tot = -17.03 eV per cell
Symmetry = P4/mbm, No. 127

---

Q: The highest E_tot belongs to which entry?
A: KBaNa3

---

Q: Among the records above, which one has the lowest E_tot?
A: Ho12Pu3Ag5